[1]
Crystalline Ac2NiAs4Pt3 at its relaxed geometry, computed with PBE.

Properties
As for the energy of formation: -903 meV per atom.

The structure in POSCAR format:
```
Ac2NiAs4Pt3
1.0
4.514 0.000 0.000
0.000 4.514 0.000
0.000 0.000 10.026
As Pt Ac Ni
4 3 2 1
direct
0.000 0.500 0.377
0.500 0.000 0.623
0.000 0.000 0.000
0.500 0.500 0.000
0.000 0.000 0.500
0.500 0.000 0.880
0.000 0.500 0.120
0.000 0.500 0.745
0.500 0.000 0.255
0.500 0.500 0.500
```

=====

[2]
Crystalline Ac2NiAs3Pt4 at its relaxed geometry, computed with PBE.

Properties
As for the energy of formation: -831 meV per atom.

The structure in POSCAR format:
```
Ac2NiAs3Pt4
1.0
4.488 0.000 0.000
0.000 4.488 0.000
0.000 0.000 10.098
Ac Ni Pt As
2 1 4 3
direct
0.500 0.000 0.254
0.000 0.500 0.746
0.500 0.500 0.500
0.000 0.500 0.383
0.500 0.000 0.617
0.000 0.000 0.000
0.500 0.500 0.000
0.000 0.500 0.132
0.000 0.000 0.500
0.500 0.000 0.868
```

=====

[3]
Crystalline Ac2Ni4As3Pt at its relaxed geometry, computed with PBE.

Properties
As for the energy of formation: -721 meV per atom.

The structure in POSCAR format:
```
Ac2Ni4As3Pt
1.0
4.310 0.000 0.000
0.000 4.310 0.000
0.000 0.000 9.858
Ni Ac As Pt
4 2 3 1
direct
0.500 0.500 0.000
0.000 0.500 0.368
0.500 0.000 0.632
0.000 0.000 0.000
0.000 0.500 0.751
0.500 0.000 0.249
0.000 0.000 0.500
0.500 0.000 0.877
0.000 0.500 0.123
0.500 0.500 0.500
```

=====

[4]
Crystalline AcNiAs2Rh2 at its relaxed geometry, computed with PBE.

Properties
As for the energy of formation: -365 meV per atom.

The structure in POSCAR format:
```
AcNiAs2Rh2
1.0
-1.377 -3.613 -2.423
0.898 -2.723 3.549
-5.231 0.730 1.883
Ac Rh As Ni
1 2 2 1
direct
0.000 0.000 0.500
0.500 0.500 0.747
0.500 0.500 0.253
0.500 0.000 0.000
0.000 0.500 0.000
0.000 0.000 0.000
```

=====

[5]
Crystalline Ac2Ni4As3Rh at its relaxed geometry, computed with PBE.

Properties
As for the energy of formation: -662 meV per atom.

The structure in POSCAR format:
```
Ac2Ni4As3Rh
1.0
-3.076 1.870 -2.260
-0.618 -3.614 -2.149
-6.741 -2.884 6.787
Ac Ni Rh As
2 4 1 3
direct
0.000 0.500 0.749
0.500 0.000 0.251
0.000 0.000 0.000
0.500 0.000 0.633
0.000 0.500 0.367
0.500 0.500 0.000
0.500 0.500 0.500
0.500 0.000 0.878
0.000 0.500 0.122
0.000 0.000 0.500
```

=====

[6]
Crystalline Ac2NiAs4Rh3 at its relaxed geometry, computed with PBE.

Properties
As for the energy of formation: -882 meV per atom.

The structure in POSCAR format:
```
Ac2NiAs4Rh3
1.0
4.431 0.000 0.000
0.000 4.431 0.000
0.000 0.000 9.953
As Ac Rh Ni
4 2 3 1
direct
0.000 0.000 0.000
0.000 0.500 0.374
0.500 0.000 0.626
0.500 0.500 0.000
0.000 0.500 0.748
0.500 0.000 0.252
0.000 0.500 0.119
0.500 0.000 0.881
0.000 0.000 0.500
0.500 0.500 0.500
```

=====

[7]
Crystalline AcNiAs2Ru at its relaxed geometry, computed with PBE.

Properties
As for the energy of formation: -695 meV per atom.

The structure in POSCAR format:
```
AcNiAs2Ru
1.0
4.038 0.000 0.000
0.000 4.038 0.000
-2.019 -2.019 6.080
As Ni Ac Ru
2 1 1 1
direct
0.361 0.361 0.722
0.639 0.639 0.278
0.750 0.250 0.500
0.000 0.000 0.000
0.250 0.750 0.500
```

=====

[8]
Crystalline Ac2Ni4Sb3As at its relaxed geometry, computed with PBE.

Properties
For the uncorrected formation energy, the calculation gives -697 meV per atom.

The structure in POSCAR format:
```
Ac2Ni4Sb3As
1.0
4.543 0.000 0.000
0.000 4.543 0.000
0.000 0.000 10.043
Ac Ni Sb As
2 4 3 1
direct
0.500 0.000 0.248
0.000 0.500 0.752
0.500 0.500 0.000
0.000 0.000 0.000
0.000 0.500 0.388
0.500 0.000 0.612
0.000 0.000 0.500
0.500 0.000 0.873
0.000 0.500 0.127
0.500 0.500 0.500
```

=====

[9]
Crystalline AcNi3SbAs at its relaxed geometry, computed with PBE.

Properties
For the uncorrected formation energy, the calculation gives -421 meV per atom.

The structure in POSCAR format:
```
AcNi3SbAs
1.0
-2.876 -4.067 -2.762
3.701 0.721 -4.915
2.580 -5.271 5.073
Ni As Ac Sb
6 2 2 2
direct
0.000 0.791 0.000
0.750 0.748 0.495
0.250 0.252 0.505
0.500 0.791 0.000
0.500 0.209 0.000
0.000 0.209 0.000
0.250 0.094 0.188
0.750 0.906 0.812
0.250 0.786 0.571
0.750 0.214 0.429
0.750 0.577 0.153
0.250 0.423 0.847
```

=====

[10]
Crystalline Ac4NiAsSe2 at its relaxed geometry, computed with PBE.

Properties
For the uncorrected formation energy, the calculation gives -1322 meV per atom.

The structure in POSCAR format:
```
Ac4NiAsSe2
1.0
4.383 0.000 0.000
0.000 7.801 0.177
0.000 -2.688 7.372
Se Ac As Ni
2 4 1 1
direct
0.000 0.500 0.500
0.500 0.000 0.500
0.500 0.767 0.771
0.000 0.250 0.759
0.500 0.233 0.229
0.000 0.750 0.241
0.500 0.500 0.000
0.000 0.000 0.000
```

=====

[11]
Crystalline AcNi4SnAs2 at its relaxed geometry, computed with PBE.

Properties
As for the energy of formation: -455 meV per atom.

The structure in POSCAR format:
```
AcNi4SnAs2
1.0
-3.326 1.148 -2.411
-2.541 -2.542 2.296
-1.508 5.938 4.906
Ni As Sn Ac
4 2 1 1
direct
0.000 0.500 0.184
0.000 0.500 0.816
0.500 0.000 0.816
0.500 0.000 0.184
0.500 0.500 0.686
0.500 0.500 0.314
0.000 0.000 0.000
0.000 0.000 0.500
```

=====

[12]
Crystalline SrAcNiAs at its relaxed geometry, computed with PBE.

Properties
As for the energy of formation: -529 meV per atom.

The structure in POSCAR format:
```
SrAcNiAs
1.0
5.314 0.000 0.000
2.657 4.602 0.000
2.657 1.534 4.339
Sr Ni As Ac
1 1 1 1
direct
0.250 0.250 0.250
0.500 0.500 0.500
0.000 0.000 0.000
0.750 0.750 0.750
```

=====

[13]
Crystalline SrAcNi2As2 at its relaxed geometry, computed with PBE.

Properties
As for the energy of formation: -894 meV per atom.

The structure in POSCAR format:
```
SrAcNi2As2
1.0
4.183 0.000 0.000
-2.091 3.622 0.000
0.000 0.000 8.812
Ni Ac As Sr
2 1 2 1
direct
0.667 0.333 0.242
0.333 0.667 0.758
0.000 0.000 0.000
0.333 0.667 0.252
0.667 0.333 0.748
0.000 0.000 0.500
```

=====

[14]
Crystalline AcTbNi2As2 at its relaxed geometry, computed with PBE.

Properties
As for the energy of formation: -1019 meV per atom.

The structure in POSCAR format:
```
AcTbNi2As2
1.0
4.154 0.000 0.000
-2.077 3.597 0.000
0.000 0.000 8.183
Ni As Ac Tb
2 2 1 1
direct
0.333 0.667 0.732
0.667 0.333 0.268
0.667 0.333 0.727
0.333 0.667 0.273
0.000 0.000 0.000
0.000 0.000 0.500
```

=====

[15]
Crystalline Ac4NiTe2As at its relaxed geometry, computed with PBE.

Properties
For the uncorrected formation energy, the calculation gives -1150 meV per atom.

The structure in POSCAR format:
```
Ac4NiTe2As
1.0
4.462 0.000 0.000
0.000 7.990 0.185
0.000 -2.750 7.724
Ni Ac As Te
1 4 1 2
direct
0.000 0.000 0.000
0.000 0.256 0.776
0.500 0.226 0.212
0.000 0.744 0.224
0.500 0.774 0.788
0.500 0.500 0.000
0.500 0.000 0.500
0.000 0.500 0.500
```

=====

[16]
Crystalline AcTmNi2As2 at its relaxed geometry, computed with PBE.

Properties
As for the energy of formation: -1006 meV per atom.

The structure in POSCAR format:
```
AcTmNi2As2
1.0
4.149 0.000 0.000
-2.074 3.593 0.000
0.000 0.000 8.030
As Tm Ni Ac
2 1 2 1
direct
0.333 0.667 0.276
0.667 0.333 0.724
0.000 0.000 0.500
0.667 0.333 0.277
0.333 0.667 0.723
0.000 0.000 0.000
```

=====

[17]
Crystalline AcNpAs3 at its relaxed geometry, computed with PBE.

Properties
As for the energy of formation: -531 meV per atom.

The structure in POSCAR format:
```
AcNpAs3
1.0
5.279 0.000 0.000
0.000 5.279 0.000
0.000 0.000 5.279
As Np Ac
3 1 1
direct
0.000 0.500 0.000
0.000 0.000 0.500
0.500 0.000 0.000
0.000 0.000 0.000
0.500 0.500 0.500
```

=====

[18]
Crystalline Ac4NpAs5 at its relaxed geometry, computed with PBE.

Properties
As for the energy of formation: -1262 meV per atom.

The structure in POSCAR format:
```
Ac4NpAs5
1.0
4.438 0.000 -0.625
-0.088 4.437 -0.625
0.007 0.007 16.108
As Ac Np
5 4 1
direct
0.906 0.906 0.812
0.699 0.699 0.399
0.500 0.500 0.000
0.094 0.094 0.188
0.301 0.301 0.601
0.598 0.598 0.196
0.402 0.402 0.804
0.199 0.199 0.398
0.801 0.801 0.602
0.000 0.000 0.000
```

=====

[19]
Crystalline AcNpAs at its relaxed geometry, computed with PBE.

Properties
As for the energy of formation: -250 meV per atom.

The structure in POSCAR format:
```
AcNpAs
1.0
3.849 0.000 0.000
0.000 3.849 0.000
-1.925 -1.925 5.897
As Ac Np
1 1 1
direct
0.026 0.026 0.052
0.349 0.349 0.698
0.625 0.625 0.250
```

=====

[20]
Crystalline AcNpAs2O8 at its relaxed geometry, computed with PBE.

Properties
For the uncorrected formation energy, the calculation gives -2008 meV per atom.

The structure in POSCAR format:
```
AcNpAs2O8
1.0
5.648 0.000 0.000
-2.824 4.891 0.000
0.000 0.000 7.567
O Np As Ac
8 1 2 1
direct
0.335 0.168 0.255
0.665 0.832 0.745
0.167 0.335 0.745
0.168 0.833 0.745
0.832 0.167 0.255
0.333 0.667 0.047
0.667 0.333 0.953
0.833 0.665 0.255
0.000 0.000 0.000
0.333 0.667 0.825
0.667 0.333 0.175
0.000 0.000 0.500
```